Hf5Zn4Hg: optimized geometry, PBE.

abc: 3.3090 3.3090 17.0349
angles: 90.00 90.00 90.00
With the nearest neighbours (Å) after each atom.
Sites, in units of the cell vectors:
Zn: 0.0000 0.0000 0.4033  8 Hf 2.86
Zn: 0.0000 0.0000 0.5967  8 Hf 2.86
Zn: 0.0000 0.0000 0.2102  8 Hf 2.86-2.87
Zn: 0.0000 0.0000 0.7898  8 Hf 2.86-2.87
Hf: 0.5000 0.5000 0.1125  4 Zn 2.87, 4 Hg 3.02
Hf: 0.5000 0.5000 0.3071  8 Zn 2.86
Hf: 0.5000 0.5000 0.5000  8 Zn 2.86
Hf: 0.5000 0.5000 0.8875  4 Zn 2.87, 4 Hg 3.02
Hf: 0.5000 0.5000 0.6929  8 Zn 2.86
Hg: 0.0000 0.0000 0.0000  8 Hf 3.02, 4 Hg 3.31

Computed properties:
- Volume: 186.5 Å³ per cell
- Electronic total energy: -5.6664 eV per atom
- M_tot: 0.0000 μB/atom

***

HfZn2Hg4: optimized geometry, PBE.

abc: 5.5361 5.5361 7.8144
angles: 69.25 69.25 90.00
With the nearest neighbours (Å) after each atom.
Sites, in units of the cell vectors:
Hg: 0.7871 0.7871 0.4257  1 Zn 2.62, 1 Hf 2.88
Hg: 0.5000 0.0000 0.0000  2 Hf 2.77, 4 Zn 3.04
Hg: 0.2129 0.2129 0.5743  1 Zn 2.62, 1 Hf 2.88
Hg: 0.0000 0.5000 0.0000  2 Hf 2.77, 4 Zn 3.04
Zn: 0.4068 0.4068 0.1863  1 Zn 2.52, 1 Hg 2.62
Zn: 0.5932 0.5932 0.8137  1 Zn 2.52, 1 Hg 2.62
Hf: 0.0000 0.0000 0.0000  6 Hg 2.77-2.88

Computed properties:
- Volume: 207.3 Å³ per cell
- Electronic total energy: -1.5519 eV per atom
- M_tot: 0.0000 μB/atom

***

HfZrZnHg: optimized geometry, PBE.

abc: 3.1703 3.1703 7.9066
angles: 90.00 90.00 90.00
With the nearest neighbours (Å) after each atom.
Sites, in units of the cell vectors:
Zn: 0.5000 0.5000 0.3247  4 Hf 2.88, 4 Zr 2.92, 4 Zn 3.17
Hg: 0.5000 0.5000 0.8177  4 Hf 3.06, 4 Zr 3.10, 4 Hg 3.17
Zr: 0.0000 0.0000 0.0886  4 Zn 2.92, 4 Hg 3.10, 4 Zr 3.17
Hf: 0.0000 0.0000 0.5537  4 Zn 2.88, 4 Hg 3.06, 4 Hf 3.17

Computed properties:
- Volume: 79.5 Å³ per cell
- Electronic total energy: -5.1740 eV per atom
- M_tot: 0.0000 μB/atom

***

Hf3ZrHg: optimized geometry, PBE.

abc: 5.1932 5.1932 5.1932
angles: 90.00 90.00 90.00
With the nearest neighbours (Å) after each atom.
Sites, in units of the cell vectors:
Hg: 0.0000 0.0000 0.0000  6 Hf 2.60
Hf: 0.0000 0.0000 0.5000  2 Hg 2.60
Hf: 0.0000 0.5000 0.0000  2 Hg 2.60
Hf: 0.5000 0.0000 0.0000  2 Hg 2.60
Zr: 0.5000 0.5000 0.5000  12 Hf 3.67

Computed properties:
- Volume: 140.1 Å³ per cell
- M_tot: 0.4713 μB/atom
- ΔE to the lowest computed polymorph: 1.131 eV/atom

***

HfZrHg3: optimized geometry, PBE.

abc: 5.2803 5.2803 5.2803
angles: 90.00 90.00 90.00
With the nearest neighbours (Å) after each atom.
Sites, in units of the cell vectors:
Hf: 0.0000 0.0000 0.0000  6 Hg 2.64
Zr: 0.5000 0.5000 0.5000  12 Hg 3.73
Hg: 0.0000 0.0000 0.5000  2 Hf 2.64
Hg: 0.0000 0.5000 0.0000  2 Hf 2.64
Hg: 0.5000 0.0000 0.0000  2 Hf 2.64

Computed properties:
- Volume: 147.2 Å³ per cell
- M_tot: 0.0678 μB/atom
- ΔE to the lowest computed polymorph: 0.955 eV/atom

***

HfZrHg4: optimized geometry, PBE.

abc: 3.2436 3.2434 12.4154
angles: 90.00 90.00 90.00
With the nearest neighbours (Å) after each atom.
Sites, in units of the cell vectors:
Hg: 0.0000 0.0001 0.6607  4 Hf 3.04, 8 Hg 3.16-3.24
Hg: 0.0000 0.9999 0.3393  4 Hf 3.04, 8 Hg 3.16-3.24
Hg: 0.5000 0.5000 0.1642  4 Zr 3.07, 8 Hg 3.16-3.24
Hg: 0.5000 0.5000 0.8358  4 Zr 3.07, 8 Hg 3.16-3.24
Hf: 0.5000 0.5000 0.5000  8 Hg 3.04, 4 Hf 3.24
Zr: 0.0000 0.0000 0.0000  8 Hg 3.07, 4 Zr 3.24

Computed properties:
- Volume: 130.6 Å³ per cell
- Electronic total energy: -3.3196 eV per atom
- M_tot: 0.0000 μB/atom

***

Hf3Zr2Hg: optimized geometry, PBE.

abc: 4.4137 4.4477 7.1145
angles: 108.21 90.00 90.00
With the nearest neighbours (Å) after each atom.
Sites, in units of the cell vectors:
Hf: 0.5000 0.8331 0.6662  6 Zr 3.13-3.16, 2 Hg 3.16, 4 Hf 3.16-3.17
Hf: 0.5000 0.1669 0.3338  6 Zr 3.13-3.16, 2 Hg 3.16, 4 Hf 3.16-3.17
Hf: 0.5000 0.5000 0.0000  4 Hg 3.13, 4 Zr 3.15, 4 Hf 3.17
Zr: 0.0000 0.6662 0.3324  8 Hf 3.13-3.16, 2 Hg 3.16, 2 Zr 3.17
Zr: 0.0000 0.3338 0.6676  8 Hf 3.13-3.16, 2 Hg 3.16, 2 Zr 3.17
Hg: 0.0000 0.0000 0.0000  8 Hf 3.13-3.16, 4 Zr 3.16

Computed properties:
- Volume: 132.7 Å³ per cell
- Electronic total energy: -7.8964 eV per atom
- M_tot: 0.0000 μB/atom

***

HfZr5Hg4: optimized geometry, PBE.

abc: 3.2120 3.2120 21.2573
angles: 90.00 90.00 90.00
With the nearest neighbours (Å) after each atom.
Sites, in units of the cell vectors:
Zr: 0.5000 0.5000 0.1018  4 Hf 3.14, 4 Hg 3.14, 4 Zr 3.21
Zr: 0.5000 0.5000 0.6978  8 Hg 3.09-3.10, 4 Zr 3.21
Zr: 0.5000 0.5000 0.8982  4 Hf 3.14, 4 Hg 3.14, 4 Zr 3.21
Zr: 0.5000 0.5000 0.3022  8 Hg 3.09-3.10, 4 Zr 3.21
Zr: 0.5000 0.5000 0.5000  8 Hg 3.09, 4 Zr 3.21
Hg: 0.0000 0.0000 0.7960  8 Zr 3.09-3.14, 4 Hg 3.21
Hg: 0.0000 0.0000 0.4011  8 Zr 3.09-3.10, 4 Hg 3.21
Hg: 0.0000 0.0000 0.2040  8 Zr 3.09-3.14, 4 Hg 3.21
Hg: 0.0000 0.0000 0.5989  8 Zr 3.09-3.10, 4 Hg 3.21
Hf: 0.0000 0.0000 0.0000  8 Zr 3.14, 4 Hf 3.21

Computed properties:
- Volume: 219.3 Å³ per cell
- Electronic total energy: -5.5471 eV per atom
- M_tot: 0.0031 μB/atom

***

Hf2ZrHg2: optimized geometry, PBE.

abc: 8.5211 8.5211 3.0656
angles: 90.00 90.00 90.00
With the nearest neighbours (Å) after each atom.
Sites, in units of the cell vectors:
Zr: 0.5000 0.5000 0.0000  2 Zr 3.07, 4 Hf 3.37
Zr: 0.0000 0.0000 0.0000  2 Zr 3.07, 4 Hf 3.37
Hg: 0.1734 0.6734 0.5000  6 Hf 2.88-2.99, 2 Hg 3.07
Hg: 0.8266 0.3266 0.5000  6 Hf 2.88-2.99, 2 Hg 3.07
Hg: 0.6734 0.8266 0.5000  6 Hf 2.88-2.99, 2 Hg 3.07
Hg: 0.3266 0.1734 0.5000  6 Hf 2.88-2.99, 2 Hg 3.07
Hf: 0.8759 0.6241 0.0000  6 Hg 2.88-2.99, 3 Hf 2.99-3.07
Hf: 0.1241 0.3759 0.0000  6 Hg 2.88-2.99, 3 Hf 2.99-3.07
Hf: 0.6241 0.1241 0.0000  6 Hg 2.88-2.99, 3 Hf 2.99-3.07
Hf: 0.3759 0.8759 0.0000  6 Hg 2.88-2.99, 3 Hf 2.99-3.07

Computed properties:
- Volume: 222.6 Å³ per cell
- M_tot: 0.0000 μB/atom
- ΔE to the lowest computed polymorph: 0.120 eV/atom

***

Hf2ZrHg2: optimized geometry, PBE.

abc: 8.0506 8.0506 3.4269
angles: 90.00 90.00 90.00
With the nearest neighbours (Å) after each atom.
Sites, in units of the cell vectors:
Hf: 0.3245 0.1755 0.5000  6 Hg 2.82-3.01
Hf: 0.1755 0.6755 0.5000  6 Hg 2.82-3.01
Hf: 0.6755 0.8245 0.5000  6 Hg 2.82-3.01
Hf: 0.8245 0.3245 0.5000  6 Hg 2.82-3.01
Hg: 0.1273 0.3727 0.0000  6 Hf 2.82-3.01, 1 Hg 2.90
Hg: 0.3727 0.8727 0.0000  6 Hf 2.82-3.01, 1 Hg 2.90
Hg: 0.6273 0.1273 0.0000  6 Hf 2.82-3.01, 1 Hg 2.90
Hg: 0.8727 0.6273 0.0000  6 Hf 2.82-3.01, 1 Hg 2.90
Zr: 0.0000 0.0000 0.0000  4 Hg 3.17, 2 Zr 3.43, 8 Hf 3.43
Zr: 0.5000 0.5000 0.0000  4 Hg 3.17, 2 Zr 3.43, 8 Hf 3.43

Computed properties:
- Volume: 222.1 Å³ per cell
- M_tot: 0.0000 μB/atom
- ΔE to the lowest computed polymorph: 0.000 eV/atom

***

Hf2ZrHg: optimized geometry, PBE.

abc: 3.2862 9.6646 5.8577
angles: 90.00 73.71 90.00
With the nearest neighbours (Å) after each atom.
Sites, in units of the cell vectors:
Hf: 0.6310 0.4812 0.7380  3 Hg 2.95-3.08, 5 Hf 2.97-3.29, 2 Zr 3.20
Hf: 0.3690 0.9812 0.2620  3 Hg 2.95-3.08, 5 Hf 2.97-3.29, 2 Zr 3.20
Hf: 0.6310 0.0188 0.7380  3 Hg 2.95-3.08, 5 Hf 2.97-3.29, 2 Zr 3.20
Hf: 0.3690 0.5188 0.2620  3 Hg 2.95-3.08, 5 Hf 2.97-3.29, 2 Zr 3.20
Hg: 0.7786 0.7500 0.4429  6 Hf 2.95-3.08, 3 Zr 3.04-3.07, 2 Hg 3.29
Hg: 0.2214 0.2500 0.5571  6 Hf 2.95-3.08, 3 Zr 3.04-3.07, 2 Hg 3.29
Zr: 0.0515 0.7500 0.8970  3 Hg 3.04-3.07, 4 Hf 3.20, 2 Zr 3.29
Zr: 0.9485 0.2500 0.1030  3 Hg 3.04-3.07, 4 Hf 3.20, 2 Zr 3.29

Computed properties:
- Volume: 178.6 Å³ per cell
- Electronic total energy: -7.1909 eV per atom
- M_tot: 0.0000 μB/atom

***

Hf2Zr3Hg2: optimized geometry, PBE.

abc: 4.7456 3.0971 10.8217
angles: 90.00 77.33 90.00
With the nearest neighbours (Å) after each atom.
Sites, in units of the cell vectors:
Zr: 0.0000 0.0000 0.0000  4 Zr 3.09-3.10, 8 Hg 3.22
Zr: 0.8537 0.0000 0.2927  3 Zr 3.09-3.10, 6 Hf 3.21-3.24, 4 Hg 3.23
Zr: 0.1463 0.0000 0.7073  3 Zr 3.09-3.10, 6 Hf 3.21-3.24, 4 Hg 3.23
Hg: 0.4273 0.5000 0.1454  3 Hg 3.07-3.10, 1 Hf 3.12, 8 Zr 3.22-3.23
Hg: 0.5727 0.5000 0.8546  3 Hg 3.07-3.10, 1 Hf 3.12, 8 Zr 3.22-3.23
Hf: 0.2794 0.5000 0.4411  2 Hf 2.68
Hf: 0.7206 0.5000 0.5589  2 Hf 2.68

Computed properties:
- Volume: 155.2 Å³ per cell
- Electronic total energy: -6.5820 eV per atom
- M_tot: 0.0001 μB/atom

***

What did the sixth record say?
HfZrHg4: optimized geometry, PBE.

abc: 3.2436 3.2434 12.4154
angles: 90.00 90.00 90.00
With the nearest neighbours (Å) after each atom.
Sites, in units of the cell vectors:
Hg: 0.0000 0.0001 0.6607  4 Hf 3.04, 8 Hg 3.16-3.24
Hg: 0.0000 0.9999 0.3393  4 Hf 3.04, 8 Hg 3.16-3.24
Hg: 0.5000 0.5000 0.1642  4 Zr 3.07, 8 Hg 3.16-3.24
Hg: 0.5000 0.5000 0.8358  4 Zr 3.07, 8 Hg 3.16-3.24
Hf: 0.5000 0.5000 0.5000  8 Hg 3.04, 4 Hf 3.24
Zr: 0.0000 0.0000 0.0000  8 Hg 3.07, 4 Zr 3.24

Computed properties:
- Volume: 130.6 Å³ per cell
- Electronic total energy: -3.3196 eV per atom
- M_tot: 0.0000 μB/atom